CeCuPd14 | PBE-GGA | relaxed

abc: 5.681 5.681 7.901
angles: 90.00 90.00 90.01
Sites, in units of the cell vectors:
Pd 0.622 0.622 0.750
Pd 0.375 0.875 0.500
Pd 0.128 0.622 0.750
Pd 0.375 0.875 0.000
Pd 0.128 0.622 0.250
Pd 0.375 0.375 0.000
Pd 0.128 0.128 0.750
Pd 0.128 0.128 0.250
Pd 0.875 0.375 0.000
Pd 0.622 0.128 0.250
Pd 0.875 0.875 0.000
Pd 0.622 0.128 0.750
Pd 0.875 0.375 0.500
Cu 0.375 0.375 0.500
Pd 0.622 0.622 0.250
Ce 0.875 0.875 0.500

- Symmetry: P4/mmm
- Formation energy from the elements: -0.2195 eV/atom
- Fermi-level density of states: 1.622 states/eV/atom
- Crystal system: tetragonal
- Spin magnetization: 0.00 μB/f.u.



NbV2C | PBE-GGA | relaxed

abc: 6.885 6.885 5.361
angles: 50.04 50.04 90.00
Sites, in units of the cell vectors:
V 0.516 0.125 0.250
V 0.875 0.766 0.750
V 0.234 0.625 0.250
Nb 0.750 0.250 0.500
V 0.375 0.484 0.750
Nb 0.000 0.000 0.000
C 0.500 0.500 0.000
C 0.250 0.750 0.500

- Symmetry: I-42d
- Formation energy from the elements: 0.0481 eV/atom
- Fermi-level density of states: 0.868 states/eV/atom
- Crystal system: tetragonal
- Spin magnetization: 0.00 μB/f.u.



USnBi | PBE-GGA | relaxed

abc: 4.542 4.479 8.899
angles: 104.58 104.85 90.00
Sites, in units of the cell vectors:
Sn 0.500 0.500 0.000
U 0.866 0.366 0.732
Bi 0.330 0.830 0.660
Bi 0.670 0.170 0.340
U 0.134 0.634 0.268
Sn 0.000 0.000 0.000

- Symmetry: C2/m
- Formation energy from the elements: 0.0059 eV/atom
- Fermi-level density of states: 2.641 states/eV/atom
- Crystal system: monoclinic
- Spin magnetization: 2.17 μB/f.u.



Ba2YMn | PBE-GGA | relaxed

abc: 4.065 4.065 9.542
angles: 90.00 90.00 90.01
Sites, in units of the cell vectors:
Y 0.500 0.500 0.750
Ba 0.000 0.000 0.041
Mn 0.500 0.500 0.250
Ba 0.000 0.000 0.459

- Symmetry: P4/mmm
- Formation energy from the elements: 0.5038 eV/atom
- Fermi-level density of states: 1.339 states/eV/atom
- Crystal system: tetragonal
- Spin magnetization: 4.27 μB/f.u.



Ho2AlGe2Rh5 | PBE-GGA | relaxed

abc: 3.532 9.749 9.749
angles: 90.00 90.00 90.00
Sites, in units of the cell vectors:
Ho 0.000 0.673 0.173
Rh 0.500 0.205 0.066
Ho 0.000 0.827 0.673
Rh 0.500 0.434 0.295
Rh 0.500 0.566 0.705
Ge 0.000 0.126 0.626
Ge 0.000 0.374 0.126
Ge 0.000 0.874 0.374
Ge 0.000 0.626 0.874
Rh 0.500 0.795 0.934
Rh 0.500 0.000 0.500
Ho 0.000 0.327 0.827
Rh 0.500 0.066 0.795
Rh 0.500 0.705 0.434
Rh 0.500 0.934 0.205
Rh 0.500 0.295 0.566
Al 0.000 0.000 0.000
Rh 0.500 0.500 0.000
Al 0.000 0.500 0.500
Ho 0.000 0.173 0.327

- Symmetry: P4/mbm
- Formation energy from the elements: -0.8573 eV/atom
- Fermi-level density of states: 0.305 states/eV/atom
- Crystal system: tetragonal
- Spin magnetization: 0.00 μB/f.u.



TlGaBr4 | PBE-GGA | relaxed

abc: 5.652 7.487 13.676
angles: 105.16 90.00 112.18
Sites, in units of the cell vectors:
Br 0.760 0.520 0.314
Tl 0.176 0.352 0.186
Br 0.240 0.480 0.686
Br 0.894 0.788 0.088
Br 0.409 0.818 0.265
Br 0.929 0.858 0.619
Br 0.106 0.212 0.912
Ga 0.089 0.177 0.735
Ga 0.911 0.823 0.265
Br 0.591 0.182 0.735
Br 0.071 0.142 0.381
Tl 0.824 0.648 0.814

- Symmetry: C2/m
- Fermi-level density of states: 0.000 states/eV/atom
- Crystal system: monoclinic
- ΔE_f (raw): -0.774 eV/atom
- Spin magnetization: 0.00 μB/f.u.



KRb2HgSb | PBE-GGA | relaxed

abc: 7.134 7.134 6.788
angles: 90.00 90.00 90.00
Sites, in units of the cell vectors:
Hg 0.500 0.500 0.500
Rb 0.500 0.000 0.000
Sb 0.000 0.000 0.000
K 0.000 0.000 0.500
Rb 0.000 0.500 0.000

- Symmetry: P4/mmm
- Fermi-level density of states: 0.665 states/eV/atom
- Crystal system: tetragonal
- ΔE_f (raw): -0.201 eV/atom
- Spin magnetization: 0.00 μB/f.u.



La4Nd3Tm4 | PBE-GGA | relaxed

abc: 3.655 5.124 20.163
angles: 97.28 95.18 90.03
Sites, in units of the cell vectors:
Tm 0.907 0.908 0.815
Tm 0.272 0.272 0.543
Nd 0.000 0.000 0.000
Tm 0.728 0.728 0.457
Tm 0.093 0.092 0.185
La 0.547 0.546 0.093
La 0.453 0.454 0.907
Nd 0.637 0.636 0.274
La 0.183 0.183 0.367
Nd 0.363 0.364 0.726
La 0.817 0.817 0.633

- Symmetry: P-1
- Formation energy from the elements: 0.0254 eV/atom
- Fermi-level density of states: 1.493 states/eV/atom
- Crystal system: triclinic
- Spin magnetization: 0.00 μB/f.u.



no.,uncorrected energy (eV/atom)
1,-5.390
2,-9.335
3,-6.385
4,-4.366
5,-6.746
6,-2.788
7,-1.692
8,-4.693